# 1
Density functional theory data (PBE) for a geometry-optimized Mg2SbPtW structure.

Structure (POSCAR):
```
Mg2SbPtW
1.0
4.914 0.000 0.000
0.000 4.934 0.000
0.000 0.000 4.914
Mg Pt W Sb
2 1 1 1
Direct
0.500 0.000 0.000
0.000 0.000 0.500
0.000 0.000 0.000
0.000 0.500 0.000
0.500 0.500 0.500
```

Values from the calculation:
Formation energy from raw total energies (eV per atom): 0.4466
Calculated volume (Å³/f.u.): 119
Crystal system: tetragonal

***

# 2
Density functional theory data (PBE) for a geometry-optimized CrIn4Co structure.

Structure (POSCAR):
```
CrIn4Co
1.0
0.000 4.107 4.107
4.107 0.000 4.107
4.107 4.107 0.000
Cr Co In
1 1 4
Direct
0.000 0.000 0.000
0.750 0.750 0.750
0.375 0.375 0.875
0.375 0.875 0.375
0.375 0.375 0.375
0.875 0.375 0.375
```

Values from the calculation:
Calculated volume (Å³/f.u.): 139
E_tot (eV per atom): -3.826
Crystal system: cubic

***

# 3
Density functional theory data (PBE) for a geometry-optimized LaZrSc2 structure.

Structure (POSCAR):
```
LaZrSc2
1.0
3.295 0.000 0.000
0.000 3.295 0.000
0.000 0.000 9.830
La Zr Sc
1 1 2
Direct
0.500 0.500 0.746
0.000 0.000 0.476
0.000 0.000 0.018
0.500 0.500 0.260
```

Values from the calculation:
Calculated volume (Å³/f.u.): 107
E_tot (eV per atom): -6.438
Crystal system: tetragonal